Entry 1:
# Sr3Ag2O6 PBE relaxed
data_Sr3Ag2O6
_chemical_formula_sum 'Sr6 Ag4 O12'
_cell_length_a 4.124
_cell_length_b 4.124
_cell_length_c 20.273
_cell_angle_alpha 90.00
_cell_angle_beta 90.00
_cell_angle_gamma 90.00
_space_group_name_H-M_alt 'I 4/m m m'
_space_group_IT_number 139
_space_group_name_Hall '-I 4 2'
loop_
_atom_site_label
_atom_site_fract_x
_atom_site_fract_y
_atom_site_fract_z
_atom_site_occupancy
Sr1 0.000 0.000 0.000 1
Sr2 0.000 0.000 0.180 1
Ag1 0.000 0.000 0.408 1
O1 0.000 0.000 0.298 1
O2 0.000 0.500 0.082 1
# E_form (uncorrected) in eV per atom: -1.454
# V in Å³/atom: 15.67
# M_tot in μB/cell: 2.616
# N(E_F) in states/eV/atom: 0.39
# Total energy in eV per atom: -5.136

Entry 2:
# Ho3Te2Au PBE relaxed
data_Ho3Te2Au
_chemical_formula_sum 'Ho48 Te32 Au16'
_cell_length_a 8.719
_cell_length_b 12.180
_cell_length_c 25.555
_cell_angle_alpha 90.00
_cell_angle_beta 90.00
_cell_angle_gamma 90.00
_space_group_name_H-M_alt 'F d d d'
_space_group_IT_number 70
loop_
_space_group_symop_operation_xyz
'x,y,z'
'-x,-y,-z'
'-x+1/4,-y+1/4,z'
'x+1/4,y+1/4,-z'
'x,-y+1/4,-z+1/4'
'-x,y+1/4,z+1/4'
'-x+1/4,y,-z+1/4'
'x+1/4,-y,z+1/4'
'x,y+1/2,z+1/2'
'-x,-y+1/2,-z+1/2'
'-x+1/4,-y+3/4,z+1/2'
'x+1/4,y+3/4,-z+1/2'
'x,-y+3/4,-z+3/4'
'-x,y+3/4,z+3/4'
'-x+1/4,y+1/2,-z+3/4'
'x+1/4,-y+1/2,z+3/4'
'x+1/2,y,z+1/2'
'-x+1/2,-y,-z+1/2'
'-x+3/4,-y+1/4,z+1/2'
'x+3/4,y+1/4,-z+1/2'
'x+1/2,-y+1/4,-z+3/4'
'-x+1/2,y+1/4,z+3/4'
'-x+3/4,y,-z+3/4'
'x+3/4,-y,z+3/4'
'x+1/2,y+1/2,z'
'-x+1/2,-y+1/2,-z'
'-x+3/4,-y+3/4,z'
'x+3/4,y+3/4,-z'
'x+1/2,-y+3/4,-z+1/4'
'-x+1/2,y+3/4,z+1/4'
'-x+3/4,y+1/2,-z+1/4'
'x+3/4,-y+1/2,z+1/4'
loop_
_atom_site_label
_atom_site_fract_x
_atom_site_fract_y
_atom_site_fract_z
_atom_site_occupancy
Ho1 0.102 0.375 0.375 1
Ho2 0.114 0.364 0.213 1
Te1 0.125 0.125 0.379 1
Te2 0.125 0.125 0.545 1
Au1 0.125 0.125 0.041 1
# E_form (uncorrected) in eV per atom: -1.128
# V in Å³/atom: 28.27
# M_tot in μB/cell: 0.000
# N(E_F) in states/eV/atom: 0.64
# Total energy in eV per atom: -5.011

Entry 3:
# Ca2Ac3Te3N2 PBE relaxed
data_Ca2Ac3Te3N2
_chemical_formula_sum 'Ca4 Ac6 Te6 N4'
_cell_length_a 4.725
_cell_length_b 4.725
_cell_length_c 27.300
_cell_angle_alpha 90.00
_cell_angle_beta 90.00
_cell_angle_gamma 90.00
_space_group_name_H-M_alt 'I 4/m m m'
_space_group_IT_number 139
_space_group_name_Hall '-I 4 2'
loop_
_atom_site_label
_atom_site_fract_x
_atom_site_fract_y
_atom_site_fract_z
_atom_site_occupancy
Ca1 0.000 0.500 0.250 1
Ac1 0.000 0.000 0.000 1
Ac2 0.000 0.000 0.364 1
Te1 0.000 0.000 0.126 1
Te2 0.000 0.000 0.500 1
N1 0.000 0.000 0.281 1
# E_form (uncorrected) in eV per atom: -1.357
# V in Å³/atom: 30.47
# M_tot in μB/cell: 0.000
# N(E_F) in states/eV/atom: 0.27
# Total energy in eV per atom: -5.597

Entry 4:
# NaSn3S PBE relaxed
data_NaSn3S
_chemical_formula_sum 'Na1 Sn3 S1'
_cell_length_a 5.437
_cell_length_b 5.437
_cell_length_c 5.437
_cell_angle_alpha 90.00
_cell_angle_beta 90.00
_cell_angle_gamma 90.00
_space_group_name_H-M_alt 'P m -3 m'
_space_group_IT_number 221
_space_group_name_Hall '-P 4 2 3'
loop_
_atom_site_label
_atom_site_fract_x
_atom_site_fract_y
_atom_site_fract_z
_atom_site_occupancy
Na1 0.000 0.000 0.000 1
Sn1 0.000 0.500 0.500 1
S1 0.500 0.500 0.500 1
# E_form (uncorrected) in eV per atom: 0.112
# V in Å³/atom: 32.14
# M_tot in μB/cell: 0.000
# N(E_F) in states/eV/atom: 0.70
# Total energy in eV per atom: -3.379

Entry 5:
# Sm2AlOs3 PBE relaxed
data_Sm2AlOs3
_chemical_formula_sum 'Sm4 Al2 Os6'
_cell_length_a 9.275
_cell_length_b 5.439
_cell_length_c 5.384
_cell_angle_alpha 90.00
_cell_angle_beta 124.31
_cell_angle_gamma 90.00
_space_group_name_H-M_alt 'C 1 2/m 1'
_space_group_IT_number 12
_space_group_name_Hall '-C 2y'
loop_
_atom_site_label
_atom_site_fract_x
_atom_site_fract_y
_atom_site_fract_z
_atom_site_occupancy
Sm1 0.122 0.000 0.378 1
Al1 0.000 0.500 0.000 1
Os1 0.000 0.500 0.500 1
Os2 0.250 0.250 0.000 1
# V in Å³/atom: 18.70
# DFT formation energy in meV/atom: -276
# M_tot in μB/cell: 0.001
# N(E_F) in states/eV/atom: 1.11
# Total energy in eV per atom: -8.088

Entry 6:
# Ce2Si3Au6 PBE relaxed
data_Ce2Si3Au6
_chemical_formula_sum 'Ce2 Si3 Au6'
_cell_length_a 7.7025
_cell_length_b 7.7025
_cell_length_c 4.3567
_cell_angle_alpha 90.00
_cell_angle_beta 90.00
_cell_angle_gamma 120.00
_space_group_name_H-M_alt 'P -6 2 m'
_space_group_IT_number 189
_space_group_name_Hall 'P -6 -2'
loop_
_atom_site_label
_atom_site_fract_x
_atom_site_fract_y
_atom_site_fract_z
_atom_site_occupancy
Ce1 0.3333 0.6667 0.0000 1
Si1 0.0000 0.3554 0.5000 1
Au1 0.0000 0.2125 0.0000 1
Au2 0.0000 0.6732 0.5000 1
# E_form (uncorrected) in eV per atom: -0.512
# V in Å³/atom: 20.35
# M_tot in μB/cell: 1.712
# N(E_F) in states/eV/atom: 1.49
# Total energy in eV per atom: -4.858

Entry 7:
# Sr13Tl2 PBE relaxed
data_Sr13Tl2
_chemical_formula_sum 'Sr13 Tl2'
_cell_length_a 7.496
_cell_length_b 9.807
_cell_length_c 10.959
_cell_angle_alpha 68.80
_cell_angle_beta 78.51
_cell_angle_gamma 81.15
_space_group_name_H-M_alt 'P -1'
_space_group_IT_number 2
_space_group_name_Hall '-P 1'
loop_
_atom_site_label
_atom_site_fract_x
_atom_site_fract_y
_atom_site_fract_z
_atom_site_occupancy
Sr1 0.000 0.000 0.000 1
Sr2 0.032 0.426 0.690 1
Sr3 0.214 0.169 0.245 1
Sr4 0.255 0.000 0.632 1
Sr5 0.255 0.596 0.943 1
Sr6 0.465 0.375 0.413 1
Sr7 0.473 0.797 0.168 1
Tl1 0.139 0.779 0.460 1
# V in Å³/atom: 48.87
# DFT formation energy in meV/atom: -88
# M_tot in μB/cell: 0.000
# N(E_F) in states/eV/atom: 1.24
# Total energy in eV per atom: -1.861

Entry 8:
# Ca2ZnAg PBE relaxed
data_Ca2ZnAg
_chemical_formula_sum 'Ca4 Zn2 Ag2'
_cell_length_a 5.996
_cell_length_b 4.612
_cell_length_c 8.296
_cell_angle_alpha 90.00
_cell_angle_beta 110.17
_cell_angle_gamma 90.00
_space_group_name_H-M_alt 'P 1 21/m 1'
_space_group_IT_number 11
_space_group_name_Hall '-P 2yb'
loop_
_atom_site_label
_atom_site_fract_x
_atom_site_fract_y
_atom_site_fract_z
_atom_site_occupancy
Ca1 0.211 0.250 0.428 1
Ca2 0.213 0.250 0.928 1
Zn1 0.361 0.750 0.216 1
Ag1 0.366 0.750 0.716 1
# V in Å³/atom: 26.92
# DFT formation energy in meV/atom: -286
# M_tot in μB/cell: 0.000
# N(E_F) in states/eV/atom: 0.64
# Total energy in eV per atom: -2.318